Model 1:
Here is NaEu2Cd after structural relaxation from Alexandria. Energies are from PBE.

Structure (POSCAR):
```
NaEu2Cd
1.0
-2.5510 -2.2044 -4.6851
1.7343 -5.0864 -2.1068
-3.4061 -4.6353 0.4799
Eu Na Cd
2 1 1
direct
0.2500 0.2500 0.2500
0.7500 0.7500 0.7500
0.0000 0.0000 0.0000
0.5000 0.5000 0.5000
```

Model 2:
Here is NaEu2Cd after structural relaxation from Alexandria. Energies are from PBE.

Structure (POSCAR):
```
NaEu2Cd
1.0
3.9957 0.0000 0.0000
0.0000 3.9957 0.0000
0.0000 0.0000 8.9031
Eu Na Cd
2 1 1
direct
0.0000 0.0000 0.7893
0.0000 0.0000 0.2107
0.5000 0.5000 0.5000
0.5000 0.5000 0.0000
```

Question: which arrangement is favored energetically? Ranking from most to least stable: model 2, model 1.

Model 1:
Here is NaEuCd after structural relaxation from Alexandria. Energies are from PBE.

Structure (POSCAR):
```
NaEuCd
1.0
3.6989 0.0000 0.0000
0.0000 5.4361 0.0000
0.0000 -2.7181 4.7078
Eu Na Cd
1 1 1
direct
0.3332 0.0000 0.0000
0.8366 0.3333 0.6667
0.8303 0.6667 0.3333
```

Model 2:
Here is NaEuCd after structural relaxation from Alexandria. Energies are from PBE.

Structure (POSCAR):
```
NaEuCd
1.0
4.0392 0.0000 0.0000
0.0000 4.0392 0.0000
-2.0196 -2.0196 5.8486
Eu Na Cd
1 1 1
direct
0.2981 0.2981 0.5962
0.5955 0.5955 0.1910
0.9564 0.9564 0.9128
```

Question: which arrangement is favored energetically? Ranking from most to least stable: model 2, model 1.

Model 1:
Here is Na2EuCd after structural relaxation from Alexandria. Energies are from PBE.

Structure (POSCAR):
```
Na2EuCd
1.0
-1.7932 5.2684 -1.2802
0.9906 -0.7994 -4.6774
-4.4944 -1.6908 -0.6629
Eu Na Cd
1 2 1
direct
0.5000 0.0000 0.0000
0.0000 0.0000 0.5000
0.0000 0.5000 0.0000
0.5000 0.5000 0.5000
```

Model 2:
Here is Na2EuCd after structural relaxation from Alexandria. Energies are from PBE.

Structure (POSCAR):
```
Na2EuCd
1.0
4.0656 0.0000 0.0000
0.0000 4.0656 0.0000
0.0000 0.0000 8.0454
Eu Na Cd
1 2 1
direct
0.5000 0.5000 0.5000
0.0000 0.0000 0.7997
0.0000 0.0000 0.2003
0.5000 0.5000 0.0000
```

Model 3:
Here is Na2EuCd after structural relaxation from Alexandria. Energies are from PBE.

Structure (POSCAR):
```
Na2EuCd
1.0
-2.6336 -1.2260 -4.8021
2.6597 -2.9083 -3.9958
-1.5144 -5.2915 -1.0982
Eu Na Cd
1 2 1
direct
0.0000 0.0000 0.0000
0.2500 0.2500 0.2500
0.7500 0.7500 0.7500
0.5000 0.5000 0.5000
```

Question: which arrangement is favored energetically? Ranking from most to least stable: model 1, model 2, model 3.

Model 1:
Here is NdEuCd2 after structural relaxation from Alexandria. Energies are from PBE.

Structure (POSCAR):
```
NdEuCd2
1.0
-3.1479 1.9349 4.0736
-5.4732 -0.4468 -0.3045
-2.6627 -3.4904 3.3129
Eu Nd Cd
1 1 2
direct
0.5000 0.5000 0.5000
0.0000 0.0000 0.0000
0.2500 0.2500 0.2500
0.7500 0.7500 0.7500
```

Model 2:
Here is NdEuCd2 after structural relaxation from Alexandria. Energies are from PBE.

Structure (POSCAR):
```
NdEuCd2
1.0
-3.4783 -1.2224 -0.5392
-0.7825 -2.1577 -2.9353
0.6786 -9.5986 4.5099
Eu Nd Cd
1 1 2
direct
0.5000 0.5000 0.5000
0.0000 0.0000 0.0000
0.7488 0.7488 0.7537
0.2512 0.2512 0.2463
```

Model 3:
Here is NdEuCd2 after structural relaxation from Alexandria. Energies are from PBE.

Structure (POSCAR):
```
NdEuCd2
1.0
3.9091 0.0000 0.0000
0.0000 5.4899 0.0000
0.0000 0.0000 5.4899
Eu Nd Cd
1 1 2
direct
0.5000 0.5000 0.5000
0.5000 0.0000 0.0000
0.0000 0.0000 0.5000
0.0000 0.5000 0.0000
```

Question: which arrangement is favored energetically? Ranking from most to least stable: model 3, model 1, model 2.

Model 1:
Here is Nd2EuCd after structural relaxation from Alexandria. Energies are from PBE.

Structure (POSCAR):
```
Nd2EuCd
1.0
3.8525 0.0000 0.0000
0.0000 3.8525 0.0000
0.0000 0.0000 8.9846
Eu Nd Cd
1 2 1
direct
0.5000 0.5000 0.5000
0.0000 0.0000 0.7897
0.0000 0.0000 0.2103
0.5000 0.5000 0.0000
```

Model 2:
Here is Nd2EuCd after structural relaxation from Alexandria. Energies are from PBE.

Structure (POSCAR):
```
Nd2EuCd
1.0
4.9097 0.0000 0.0000
0.0000 5.0892 0.0000
0.0000 0.0000 5.0892
Eu Nd Cd
1 2 1
direct
0.5000 0.0000 0.0000
0.0000 0.0000 0.5000
0.0000 0.5000 0.0000
0.5000 0.5000 0.5000
```

Model 3:
Here is Nd2EuCd after structural relaxation from Alexandria. Energies are from PBE.

Structure (POSCAR):
```
Nd2EuCd
1.0
3.7301 0.0000 0.0000
1.8650 3.2304 0.0000
1.8650 1.0768 11.3284
Eu Nd Cd
1 2 1
direct
0.5000 0.5000 0.5000
0.2589 0.2589 0.2234
0.7411 0.7411 0.7766
0.0000 0.0000 0.0000
```

Question: which arrangement is favored energetically? Ranking from most to least stable: model 1, model 2, model 3.

Model 1:
Here is Eu2CdNi after structural relaxation from Alexandria. Energies are from PBE.

Structure (POSCAR):
```
Eu2CdNi
1.0
-1.3946 2.5421 -2.1939
2.0861 -1.2056 -2.7230
-5.6327 -4.9304 -2.1323
Eu Ni Cd
2 1 1
direct
0.0000 0.0000 0.7840
0.0000 0.0000 0.2160
0.5000 0.5000 0.0000
0.5000 0.5000 0.5000
```

Model 2:
Here is Eu2CdNi after structural relaxation from Alexandria. Energies are from PBE.

Structure (POSCAR):
```
Eu2CdNi
1.0
3.9463 0.0000 0.0000
1.9731 3.4176 0.0000
1.9731 1.1392 10.1625
Eu Ni Cd
2 1 1
direct
0.1126 0.1126 0.6621
0.8874 0.8874 0.3379
0.5000 0.5000 0.5000
0.0000 0.0000 0.0000
```

Question: which arrangement is favored energetically? Ranking from most to least stable: model 1, model 2.

Model 1:
Here is EuCdPb2 after structural relaxation from Alexandria. Energies are from PBE.

Structure (POSCAR):
```
EuCdPb2
1.0
4.6980 0.0000 0.0000
0.0000 4.9401 0.0000
0.0000 0.0000 4.9401
Pb Eu Cd
2 1 1
direct
0.0000 0.0000 0.5000
0.0000 0.5000 0.0000
0.5000 0.5000 0.5000
0.5000 0.0000 0.0000
```

Model 2:
Here is EuCdPb2 after structural relaxation from Alexandria. Energies are from PBE.

Structure (POSCAR):
```
EuCdPb2
1.0
-5.1183 1.9775 0.4173
-3.4102 -0.2603 -4.3109
-4.2848 -3.4517 0.0858
Pb Eu Cd
2 1 1
direct
0.2500 0.2500 0.2500
0.7500 0.7500 0.7500
0.5000 0.5000 0.5000
0.0000 0.0000 0.0000
```

Question: which arrangement is favored energetically? Ranking from most to least stable: model 1, model 2.